(1)
VASP calculation (PBE) on a relaxed structure of CeHoAgGe.

Formation energy from the elements   -433 meV/atom

Cell and atoms, written as CIF:
```
data_CeHoAgGe
_cell_length_a 5.144
_cell_length_b 5.144
_cell_length_c 5.144
_cell_angle_alpha 60.00
_cell_angle_beta 60.00
_cell_angle_gamma 60.00
_space_group_name_H-M_alt 'P 1'
_space_group_IT_number 1
_space_group_name_Hall 'P 1'
loop_
_atom_site_label
_atom_site_type_symbol
_atom_site_fract_x
_atom_site_fract_y
_atom_site_fract_z
_atom_site_occupancy
Ho1 Ho 0.000 0.000 0.000 1
Ce1 Ce 0.500 0.500 0.500 1
Ge1 Ge 0.250 0.250 0.250 1
Ag1 Ag 0.750 0.750 0.750 1
```

---

(2)
VASP calculation (PBE) on a relaxed structure of AlGa3Re.

E above lowest polymorph   0.9243 eV per atom
Formation energy from the elements   1309 meV/atom

Cell and atoms, written as CIF:
```
data_AlGa3Re
_cell_length_a 4.796
_cell_length_b 4.796
_cell_length_c 4.796
_cell_angle_alpha 90.00
_cell_angle_beta 90.00
_cell_angle_gamma 90.00
_space_group_name_H-M_alt 'P 1'
_space_group_IT_number 1
_space_group_name_Hall 'P 1'
loop_
_atom_site_label
_atom_site_type_symbol
_atom_site_fract_x
_atom_site_fract_y
_atom_site_fract_z
_atom_site_occupancy
Al1 Al 0.000 0.000 0.000 1
Re1 Re 0.500 0.500 0.500 1
Ga1 Ga 0.000 0.500 0.000 1
Ga2 Ga 0.000 0.000 0.500 1
Ga3 Ga 0.500 0.000 0.000 1
```

---

(3)
VASP calculation (PBE) on a relaxed structure of BaZnRu.

Formation energy from the elements   258 meV/atom

Cell and atoms, written as CIF:
```
data_BaZnRu
_cell_length_a 4.325
_cell_length_b 4.325
_cell_length_c 4.820
_cell_angle_alpha 90.00
_cell_angle_beta 90.00
_cell_angle_gamma 120.00
_space_group_name_H-M_alt 'P 1'
_space_group_IT_number 1
_space_group_name_Hall 'P 1'
loop_
_atom_site_label
_atom_site_type_symbol
_atom_site_fract_x
_atom_site_fract_y
_atom_site_fract_z
_atom_site_occupancy
Zn1 Zn 0.333 0.667 0.500 1
Ba1 Ba 0.000 0.000 0.000 1
Ru1 Ru 0.667 0.333 0.500 1
```

---

(4)
VASP calculation (PBE) on a relaxed structure of CdIn2Te.

E above lowest polymorph   0.1909 eV per atom

Cell and atoms, written as CIF:
```
data_CdIn2Te
_cell_length_a 10.737
_cell_length_b 10.737
_cell_length_c 10.737
_cell_angle_alpha 18.75
_cell_angle_beta 18.75
_cell_angle_gamma 18.75
_space_group_name_H-M_alt 'P 1'
_space_group_IT_number 1
_space_group_name_Hall 'P 1'
loop_
_atom_site_label
_atom_site_type_symbol
_atom_site_fract_x
_atom_site_fract_y
_atom_site_fract_z
_atom_site_occupancy
In1 In 0.498 0.498 0.498 1
In2 In 0.002 0.002 0.002 1
Te1 Te 0.250 0.250 0.250 1
Cd1 Cd 0.750 0.750 0.750 1
```

---

(5)
VASP calculation (PBE) on a relaxed structure of YTm3S.

Final energy   -27.12 eV per cell

Cell and atoms, written as CIF:
```
data_YTm3S
_cell_length_a 5.237
_cell_length_b 5.237
_cell_length_c 5.237
_cell_angle_alpha 90.00
_cell_angle_beta 90.00
_cell_angle_gamma 90.00
_space_group_name_H-M_alt 'P 1'
_space_group_IT_number 1
_space_group_name_Hall 'P 1'
loop_
_atom_site_label
_atom_site_type_symbol
_atom_site_fract_x
_atom_site_fract_y
_atom_site_fract_z
_atom_site_occupancy
S1 S 0.000 0.000 0.000 1
Tm1 Tm 0.000 0.000 0.500 1
Tm2 Tm 0.500 0.000 0.000 1
Tm3 Tm 0.000 0.500 0.000 1
Y1 Y 0.500 0.500 0.500 1
```

---

(6)
VASP calculation (PBE) on a relaxed structure of LiUSi2Pt4.

Final energy   -54.00 eV per cell

Cell and atoms, written as CIF:
```
data_LiUSi2Pt4
_cell_length_a 4.183
_cell_length_b 4.183
_cell_length_c 8.736
_cell_angle_alpha 76.15
_cell_angle_beta 76.15
_cell_angle_gamma 60.00
_space_group_name_H-M_alt 'P 1'
_space_group_IT_number 1
_space_group_name_Hall 'P 1'
loop_
_atom_site_label
_atom_site_type_symbol
_atom_site_fract_x
_atom_site_fract_y
_atom_site_fract_z
_atom_site_occupancy
Si1 Si 0.763 0.763 0.711 1
Si2 Si 0.237 0.237 0.289 1
Pt1 Pt 0.866 0.866 0.401 1
Pt2 Pt 0.134 0.134 0.599 1
Pt3 Pt 0.399 0.399 0.802 1
Pt4 Pt 0.601 0.601 0.198 1
U1 U 0.000 0.000 0.000 1
Li1 Li 0.500 0.500 0.500 1
```

---

(7)
VASP calculation (PBE) on a relaxed structure of Mg2MnOs.

E above lowest polymorph   0.1618 eV per atom
Formation energy from the elements   246 meV/atom

Cell and atoms, written as CIF:
```
data_Mg2MnOs
_cell_length_a 4.356
_cell_length_b 4.356
_cell_length_c 4.356
_cell_angle_alpha 119.97
_cell_angle_beta 119.97
_cell_angle_gamma 90.05
_space_group_name_H-M_alt 'P 1'
_space_group_IT_number 1
_space_group_name_Hall 'P 1'
loop_
_atom_site_label
_atom_site_type_symbol
_atom_site_fract_x
_atom_site_fract_y
_atom_site_fract_z
_atom_site_occupancy
Mn1 Mn 0.500 0.500 0.000 1
Mg1 Mg 0.250 0.750 0.500 1
Mg2 Mg 0.000 0.000 0.000 1
Os1 Os 0.750 0.250 0.500 1
```

---

(8)
VASP calculation (PBE) on a relaxed structure of K6SI3Cl2.

Final energy   -36.33 eV per cell

Cell and atoms, written as CIF:
```
data_K6SI3Cl2
_cell_length_a 8.421
_cell_length_b 8.421
_cell_length_c 8.167
_cell_angle_alpha 99.89
_cell_angle_beta 99.89
_cell_angle_gamma 119.91
_space_group_name_H-M_alt 'P 1'
_space_group_IT_number 1
_space_group_name_Hall 'P 1'
loop_
_atom_site_label
_atom_site_type_symbol
_atom_site_fract_x
_atom_site_fract_y
_atom_site_fract_z
_atom_site_occupancy
K1 K 0.415 0.074 0.221 1
K2 K 0.074 0.415 0.221 1
K3 K 0.926 0.585 0.779 1
K4 K 0.731 0.731 0.217 1
K5 K 0.585 0.926 0.779 1
K6 K 0.269 0.269 0.783 1
I1 I 0.162 0.838 0.500 1
I2 I 0.500 0.500 0.500 1
I3 I 0.838 0.162 0.500 1
Cl1 Cl 0.333 0.667 0.000 1
Cl2 Cl 0.667 0.333 0.000 1
S1 S 0.000 0.000 0.000 1
```

---

(9)
VASP calculation (PBE) on a relaxed structure of ReMoRh.

E above lowest polymorph   0.6977 eV per atom
Formation energy from the elements   601 meV/atom

Cell and atoms, written as CIF:
```
data_ReMoRh
_cell_length_a 4.227
_cell_length_b 4.227
_cell_length_c 4.227
_cell_angle_alpha 60.00
_cell_angle_beta 60.00
_cell_angle_gamma 60.00
_space_group_name_H-M_alt 'P 1'
_space_group_IT_number 1
_space_group_name_Hall 'P 1'
loop_
_atom_site_label
_atom_site_type_symbol
_atom_site_fract_x
_atom_site_fract_y
_atom_site_fract_z
_atom_site_occupancy
Re1 Re 0.750 0.750 0.750 1
Rh1 Rh 0.000 0.000 0.000 1
Mo1 Mo 0.500 0.500 0.500 1
```

---

(10)
VASP calculation (PBE) on a relaxed structure of ScNbC3.

E above lowest polymorph   0.8941 eV per atom
Formation energy from the elements   2088 meV/atom

Cell and atoms, written as CIF:
```
data_ScNbC3
_cell_length_a 4.008
_cell_length_b 4.008
_cell_length_c 4.008
_cell_angle_alpha 90.00
_cell_angle_beta 90.00
_cell_angle_gamma 90.00
_space_group_name_H-M_alt 'P 1'
_space_group_IT_number 1
_space_group_name_Hall 'P 1'
loop_
_atom_site_label
_atom_site_type_symbol
_atom_site_fract_x
_atom_site_fract_y
_atom_site_fract_z
_atom_site_occupancy
C1 C 0.000 0.500 0.000 1
C2 C 0.500 0.000 0.000 1
C3 C 0.000 0.000 0.500 1
Nb1 Nb 0.500 0.500 0.500 1
Sc1 Sc 0.000 0.000 0.000 1
```

---

(11)
VASP calculation (PBE) on a relaxed structure of CaTlCdO3.

Final energy   -57.06 eV per cell

Cell and atoms, written as CIF:
```
data_CaTlCdO3
_cell_length_a 3.248
_cell_length_b 6.231
_cell_length_c 9.955
_cell_angle_alpha 85.28
_cell_angle_beta 90.00
_cell_angle_gamma 90.00
_space_group_name_H-M_alt 'P 1'
_space_group_IT_number 1
_space_group_name_Hall 'P 1'
loop_
_atom_site_label
_atom_site_type_symbol
_atom_site_fract_x
_atom_site_fract_y
_atom_site_fract_z
_atom_site_occupancy
O1 O 0.750 0.819 0.215 1
O2 O 0.750 0.142 0.403 1
O3 O 0.250 0.858 0.597 1
O4 O 0.750 0.337 0.111 1
O5 O 0.250 0.181 0.785 1
O6 O 0.250 0.663 0.889 1
Ca1 Ca 0.750 0.883 0.780 1
Ca2 Ca 0.250 0.117 0.220 1
Tl1 Tl 0.250 0.253 0.547 1
Tl2 Tl 0.750 0.747 0.453 1
Cd1 Cd 0.250 0.616 0.116 1
Cd2 Cd 0.750 0.384 0.884 1
```

---

(12)
VASP calculation (PBE) on a relaxed structure of AgSeBr2.

E above lowest polymorph   0.3695 eV per atom

Cell and atoms, written as CIF:
```
data_AgSeBr2
_cell_length_a 2.999
_cell_length_b 2.999
_cell_length_c 12.218
_cell_angle_alpha 90.00
_cell_angle_beta 90.00
_cell_angle_gamma 91.53
_space_group_name_H-M_alt 'P 1'
_space_group_IT_number 1
_space_group_name_Hall 'P 1'
loop_
_atom_site_label
_atom_site_type_symbol
_atom_site_fract_x
_atom_site_fract_y
_atom_site_fract_z
_atom_site_occupancy
Br1 Br 0.000 0.000 0.929 1
Br2 Br 0.500 0.500 0.256 1
Ag1 Ag 0.500 0.500 0.740 1
Se1 Se 0.000 0.000 0.576 1
```

---

(13)
VASP calculation (PBE) on a relaxed structure of Ba5Cd.

E above lowest polymorph   0.0762 eV per atom
Formation energy from the elements   -14 meV/atom

Cell and atoms, written as CIF:
```
data_Ba5Cd
_cell_length_a 6.347
_cell_length_b 6.213
_cell_length_c 8.634
_cell_angle_alpha 111.09
_cell_angle_beta 90.00
_cell_angle_gamma 90.00
_space_group_name_H-M_alt 'P 1'
_space_group_IT_number 1
_space_group_name_Hall 'P 1'
loop_
_atom_site_label
_atom_site_type_symbol
_atom_site_fract_x
_atom_site_fract_y
_atom_site_fract_z
_atom_site_occupancy
Ba1 Ba 0.000 0.354 0.709 1
Ba2 Ba 0.500 0.154 0.308 1
Ba3 Ba 0.000 0.646 0.291 1
Ba4 Ba 0.500 0.500 0.000 1
Ba5 Ba 0.500 0.846 0.692 1
Cd1 Cd 0.000 0.000 0.000 1
```

---

(14)
VASP calculation (PBE) on a relaxed structure of LaY3Zn.

E above lowest polymorph   0.8318 eV per atom
Formation energy from the elements   931 meV/atom

Cell and atoms, written as CIF:
```
data_LaY3Zn
_cell_length_a 5.636
_cell_length_b 5.636
_cell_length_c 5.636
_cell_angle_alpha 90.00
_cell_angle_beta 90.00
_cell_angle_gamma 90.00
_space_group_name_H-M_alt 'P 1'
_space_group_IT_number 1
_space_group_name_Hall 'P 1'
loop_
_atom_site_label
_atom_site_type_symbol
_atom_site_fract_x
_atom_site_fract_y
_atom_site_fract_z
_atom_site_occupancy
Zn1 Zn 0.500 0.500 0.500 1
Y1 Y 0.000 0.500 0.000 1
Y2 Y 0.000 0.000 0.500 1
Y3 Y 0.500 0.000 0.000 1
La1 La 0.000 0.000 0.000 1
```

---

(15)
VASP calculation (PBE) on a relaxed structure of Tm3SiPt2.

Final energy   -149.22 eV per cell

Cell and atoms, written as CIF:
```
data_Tm3SiPt2
_cell_length_a 4.092
_cell_length_b 11.346
_cell_length_c 11.399
_cell_angle_alpha 90.00
_cell_angle_beta 90.00
_cell_angle_gamma 90.00
_space_group_name_H-M_alt 'P 1'
_space_group_IT_number 1
_space_group_name_Hall 'P 1'
loop_
_atom_site_label
_atom_site_type_symbol
_atom_site_fract_x
_atom_site_fract_y
_atom_site_fract_z
_atom_site_occupancy
Pt1 Pt 0.750 0.509 0.186 1
Pt2 Pt 0.750 0.310 0.519 1
Pt3 Pt 0.250 0.009 0.314 1
Pt4 Pt 0.250 0.810 0.981 1
Pt5 Pt 0.250 0.491 0.814 1
Pt6 Pt 0.250 0.690 0.481 1
Pt7 Pt 0.750 0.991 0.686 1
Pt8 Pt 0.750 0.190 0.019 1
Tm1 Tm 0.750 0.189 0.300 1
Tm2 Tm 0.250 0.062 0.881 1
Tm3 Tm 0.250 0.811 0.700 1
Tm4 Tm 0.750 0.562 0.619 1
Tm5 Tm 0.250 0.120 0.552 1
Tm6 Tm 0.750 0.938 0.119 1
Tm7 Tm 0.250 0.380 0.052 1
Tm8 Tm 0.250 0.438 0.381 1
Tm9 Tm 0.750 0.311 0.800 1
Tm10 Tm 0.750 0.880 0.448 1
Tm11 Tm 0.750 0.620 0.948 1
Tm12 Tm 0.250 0.689 0.200 1
Si1 Si 0.750 0.869 0.873 1
Si2 Si 0.250 0.131 0.127 1
Si3 Si 0.250 0.369 0.627 1
Si4 Si 0.750 0.631 0.373 1
```

---

(16)
VASP calculation (PBE) on a relaxed structure of Sc4HPd2.

Final energy   -42.88 eV per cell

Cell and atoms, written as CIF:
```
data_Sc4HPd2
_cell_length_a 4.348
_cell_length_b 4.348
_cell_length_c 7.432
_cell_angle_alpha 107.01
_cell_angle_beta 107.01
_cell_angle_gamma 90.00
_space_group_name_H-M_alt 'P 1'
_space_group_IT_number 1
_space_group_name_Hall 'P 1'
loop_
_atom_site_label
_atom_site_type_symbol
_atom_site_fract_x
_atom_site_fract_y
_atom_site_fract_z
_atom_site_occupancy
Pd1 Pd 0.628 0.628 0.256 1
Pd2 Pd 0.372 0.372 0.744 1
H1 H 0.000 0.000 0.000 1
Sc1 Sc 0.817 0.817 0.634 1
Sc2 Sc 0.183 0.183 0.366 1
Sc3 Sc 0.000 0.500 0.000 1
Sc4 Sc 0.500 0.000 0.000 1
```

---

(17)
VASP calculation (PBE) on a relaxed structure of VSi2SeBr.

Final energy   -16.77 eV per cell

Cell and atoms, written as CIF:
```
data_VSi2SeBr
_cell_length_a 4.822
_cell_length_b 5.208
_cell_length_c 4.822
_cell_angle_alpha 90.00
_cell_angle_beta 90.00
_cell_angle_gamma 90.00
_space_group_name_H-M_alt 'P 1'
_space_group_IT_number 1
_space_group_name_Hall 'P 1'
loop_
_atom_site_label
_atom_site_type_symbol
_atom_site_fract_x
_atom_site_fract_y
_atom_site_fract_z
_atom_site_occupancy
V1 V 0.500 0.500 0.500 1
Br1 Br 0.000 0.000 0.000 1
Se1 Se 0.000 0.500 0.000 1
Si1 Si 0.500 0.000 0.000 1
Si2 Si 0.000 0.000 0.500 1
```

---

(18)
VASP calculation (PBE) on a relaxed structure of AcTb2Sm.

E above lowest polymorph   0.1387 eV per atom
Formation energy from the elements   183 meV/atom

Cell and atoms, written as CIF:
```
data_AcTb2Sm
_cell_length_a 3.603
_cell_length_b 3.603
_cell_length_c 12.970
_cell_angle_alpha 82.02
_cell_angle_beta 82.02
_cell_angle_gamma 60.00
_space_group_name_H-M_alt 'P 1'
_space_group_IT_number 1
_space_group_name_Hall 'P 1'
loop_
_atom_site_label
_atom_site_type_symbol
_atom_site_fract_x
_atom_site_fract_y
_atom_site_fract_z
_atom_site_occupancy
Tb1 Tb 0.908 0.908 0.276 1
Tb2 Tb 0.092 0.092 0.724 1
Sm1 Sm 0.500 0.500 0.500 1
Ac1 Ac 0.000 0.000 0.000 1
```

---

(19)
VASP calculation (PBE) on a relaxed structure of Hf3HgC.

E above lowest polymorph   0.0596 eV per atom
Formation energy from the elements   -449 meV/atom

Cell and atoms, written as CIF:
```
data_Hf3HgC
_cell_length_a 3.321
_cell_length_b 8.107
_cell_length_c 7.743
_cell_angle_alpha 62.04
_cell_angle_beta 90.00
_cell_angle_gamma 90.01
_space_group_name_H-M_alt 'P 1'
_space_group_IT_number 1
_space_group_name_Hall 'P 1'
loop_
_atom_site_label
_atom_site_type_symbol
_atom_site_fract_x
_atom_site_fract_y
_atom_site_fract_z
_atom_site_occupancy
Hg1 Hg 0.529 0.259 0.636 1
Hg2 Hg 0.029 0.918 0.743 1
C1 C 0.529 0.282 0.129 1
C2 C 0.029 0.894 0.250 1
Hf1 Hf 0.029 0.607 0.512 1
Hf2 Hf 0.529 0.990 0.381 1
Hf3 Hf 0.029 0.187 0.997 1
Hf4 Hf 0.529 0.570 0.867 1
Hf5 Hf 0.029 0.383 0.257 1
Hf6 Hf 0.529 0.794 0.121 1
```

---

(20)
VASP calculation (PBE) on a relaxed structure of MgCdMoPt2.

Formation energy from the elements   1345 meV/atom

Cell and atoms, written as CIF:
```
data_MgCdMoPt2
_cell_length_a 4.985
_cell_length_b 5.046
_cell_length_c 4.985
_cell_angle_alpha 90.00
_cell_angle_beta 90.00
_cell_angle_gamma 90.00
_space_group_name_H-M_alt 'P 1'
_space_group_IT_number 1
_space_group_name_Hall 'P 1'
loop_
_atom_site_label
_atom_site_type_symbol
_atom_site_fract_x
_atom_site_fract_y
_atom_site_fract_z
_atom_site_occupancy
Pt1 Pt 0.000 0.000 0.500 1
Pt2 Pt 0.500 0.000 0.000 1
Mo1 Mo 0.000 0.500 0.000 1
Mg1 Mg 0.500 0.500 0.500 1
Cd1 Cd 0.000 0.000 0.000 1
```

---

Sequential N(E_F) output: 9.5, 2.3, 0.9, 2.5, 7.8, 6.1, 3.3, 0.0, 5.1, 3.8, 1.5, 2.7, 7.1, 6.6, 20.9, 9.0, 5.1, 6.8, 5.2, 3.3 states/eV/cell